# Sr3RhI

Sr3RhI at its PBEsol-relaxed geometry (SCAN, Alexandria via LeMat-Bulk).

Cell: 5.9504 5.9504 5.9504 Å, 90.00 90.00 90.00°
Space group Pm-3m (No. 221)
Inequivalent atoms, fractional coordinates:
Sr 0.0000 0.0000 0.5000 (multiplicity 3)
Rh 0.5000 0.5000 0.5000 (multiplicity 1)
I 0.0000 0.0000 0.0000 (multiplicity 1)

---

# TlCuSb2

TlCuSb2 at its PBEsol-relaxed geometry (SCAN, Alexandria via LeMat-Bulk).

Computed properties:
Energy above the lowest structure with this stoichiometry   0.142 eV per atom

Cell: 3.2552 5.3623 10.6849 Å, 90.00 90.00 90.00°
Space group Immm (No. 71)
Inequivalent atoms, fractional coordinates:
Tl 0.0000 0.0000 0.0000 (multiplicity 2)
Cu 0.0000 0.0000 0.5000 (multiplicity 2)
Sb 0.0000 0.5000 0.1970 (multiplicity 4)

---

Let's list energy relative to the elements, uncorrected in order: 0.4137; 0.1964 eV/atom.